Record 1
Below is crystalline TiNbTlO5 at its relaxed geometry, with properties calculated at the PBEsol level. Values from VASP.

Quantum ESPRESSO input file:
```
&SYSTEM
  ibrav = 0, nat = 32, ntyp = 4
/
ATOMIC_SPECIES
O 16.00 O.upf
Tl 204.38 Tl.upf
Ti 47.87 Ti.upf
Nb 92.91 Nb.upf
CELL_PARAMETERS angstrom
3.8000 0.0000 0.0000
0.0000 6.4488 0.0000
0.0000 0.0000 18.7747
ATOMIC_POSITIONS angstrom
O 2.8500 2.3127 0.1816
O 0.9500 4.7668 10.8390
O 2.8500 0.2143 11.6251
O 2.8500 3.4387 16.5369
O 0.9500 1.5424 17.3230
O 2.8500 1.6819 7.9357
O 0.9500 3.0100 2.2378
O 0.9500 0.4318 1.3079
O 2.8500 4.2234 13.1736
O 0.9500 0.9117 9.5690
O 2.8500 6.0169 17.4668
O 0.9500 6.2344 7.1495
O 2.8500 0.9990 14.9884
O 2.8500 4.9063 1.4517
O 0.9500 2.2254 5.6010
O 2.8500 5.5371 9.2057
O 2.8500 2.7925 10.6952
O 0.9500 3.6562 8.0795
O 0.9500 4.1361 18.5931
O 0.9500 5.4498 3.7863
Tl 2.8500 1.5372 3.6832
Tl 0.9500 4.9116 15.0915
Tl 2.8500 4.7615 5.7042
Tl 0.9500 1.6872 13.0705
Ti 0.9500 5.3063 8.7661
Ti 2.8500 1.1424 10.0086
Ti 0.9500 2.0820 0.6213
Ti 2.8500 4.3668 18.1534
Nb 0.9500 1.7889 7.3554
Nb 2.8500 4.6598 11.4193
Nb 0.9500 5.0133 2.0319
Nb 2.8500 1.4354 16.7428
```

Record 2
Below is crystalline TiNb2ZnO8 at its relaxed geometry, with properties calculated at the PBEsol level. Values from VASP.

Quantum ESPRESSO input file:
```
&SYSTEM
  ibrav = 0, nat = 12, ntyp = 4
/
ATOMIC_SPECIES
Nb 92.91 Nb.upf
O 16.00 O.upf
Ti 47.87 Ti.upf
Zn 65.41 Zn.upf
CELL_PARAMETERS angstrom
4.7165 -0.0099 0.0000
-0.1400 4.9654 0.0000
0.0000 0.0000 5.6899
ATOMIC_POSITIONS angstrom
Nb 2.3582 -0.0049 1.0904
Nb 0.0000 0.0000 3.9111
O 1.1404 4.0590 5.0233
O 3.4360 0.8965 5.0233
O 1.1054 1.5922 3.5406
O 0.9370 4.1630 2.2278
O 3.2615 3.3904 0.5599
O 3.6395 0.7925 2.2278
O 3.4710 3.3633 3.5406
O 1.3149 1.5651 0.5599
Ti 2.2882 2.4777 4.7173
Zn -0.0700 2.4827 1.7175
```

Record 3
Below is crystalline NbTlO3 at its relaxed geometry, with properties calculated at the PBEsol level. Values from VASP.

Quantum ESPRESSO input file:
```
&SYSTEM
  ibrav = 0, nat = 40, ntyp = 3
/
ATOMIC_SPECIES
Nb 92.91 Nb.upf
Tl 204.38 Tl.upf
O 16.00 O.upf
CELL_PARAMETERS angstrom
-2.2354 -5.5618 4.6274
0.2669 -7.1948 -2.3225
10.8320 -5.2207 5.1540
ATOMIC_POSITIONS angstrom
Nb 5.4820 -6.2017 1.5089
Nb 2.3728 -8.1510 0.6153
Nb 4.3512 -9.0300 3.7657
Nb -0.8945 -6.3453 1.2396
Nb 6.5274 -9.9701 6.6884
Nb 8.8387 -17.8648 7.4636
Nb 9.9457 -15.1256 5.0882
Nb 5.7742 -9.7684 0.3385
Tl 1.3352 -6.9628 4.0454
Tl 6.6599 -13.7298 5.9265
Tl 1.2965 -10.9302 2.7964
Tl 2.4006 -4.3096 1.3555
Tl 4.5674 -12.5709 2.6454
Tl -2.0789 -9.0920 3.5000
Tl 7.6308 -7.3264 4.3575
Tl 7.6540 -11.2538 3.3840
O 5.2496 -7.2768 3.1258
O 3.5630 -8.0483 5.2724
O 3.6428 -10.7272 4.3979
O 5.1746 -11.3637 6.6462
O 3.8089 -9.2633 -0.0576
O 9.4128 -13.5088 6.0665
O 3.6972 -6.6213 0.8412
O 7.8191 -8.3473 6.8813
O -0.5194 -4.4285 1.3863
O 5.3057 -9.9506 2.2316
O 4.8748 -4.5371 2.3447
O 6.0523 -9.3459 4.8830
O -1.2754 -6.5138 3.1440
O 1.8449 -7.4923 -1.1343
O 5.1028 -8.7313 7.5507
O 3.9844 -13.4423 5.1594
O 1.0585 -9.6148 0.5472
O 10.0579 -6.9223 5.7917
O 0.9704 -6.8569 1.4316
O 7.9527 -11.1092 6.0377
O 2.8052 -8.6659 2.5868
O 7.0392 -10.4624 8.5966
O 10.1525 -11.4208 4.3229
O -1.1356 -11.0072 1.6700
```

Record 4
Below is crystalline Nb2Tl2O7 at its relaxed geometry, with properties calculated at the PBEsol level. Values from VASP.

Quantum ESPRESSO input file:
```
&SYSTEM
  ibrav = 0, nat = 22, ntyp = 3
/
ATOMIC_SPECIES
Tl 204.38 Tl.upf
O 16.00 O.upf
Nb 92.91 Nb.upf
CELL_PARAMETERS angstrom
-5.4261 -4.5717 -2.5332
1.8133 -6.4083 -3.5222
-1.2207 -6.6265 3.3704
ATOMIC_POSITIONS angstrom
Tl -0.3079 -8.7182 -0.4116
Tl -3.0210 -11.0040 -1.6782
Tl -3.9276 -7.7999 0.0829
Tl -2.4106 -7.6908 -3.3633
O -4.2927 -6.1654 -2.0848
O 0.2201 -7.3103 -2.7013
O -3.1624 -10.1601 -4.2804
O -0.7579 -3.5818 1.1038
O -2.8016 -5.3036 0.1497
O -2.3418 -2.8079 -1.1197
O -2.4168 -8.8032 -1.3425
O -3.6252 -13.2048 -2.0138
O -0.0750 -5.9954 -0.2228
O -1.6589 -5.2214 -2.4463
O -0.5408 -11.4410 -0.6003
O 0.3848 -3.4996 -1.4922
O -1.6712 -7.4463 1.5953
O -5.0536 -10.2962 0.0162
Nb -1.2145 -5.5141 1.3495
Nb -3.3172 -4.4866 -1.6022
Nb 0.3024 -5.4049 -2.0967
Nb -0.6042 -2.2008 -0.3356
```

Record 5
Below is crystalline NbTlO3 at its relaxed geometry, with properties calculated at the PBEsol level. Values from VASP.

Quantum ESPRESSO input file:
```
&SYSTEM
  ibrav = 0, nat = 5, ntyp = 3
/
ATOMIC_SPECIES
O 16.00 O.upf
Nb 92.91 Nb.upf
Tl 204.38 Tl.upf
CELL_PARAMETERS angstrom
-1.4316 3.6232 -1.1514
-1.8765 0.3966 3.5811
3.3063 1.7938 1.5339
ATOMIC_POSITIONS angstrom
O 1.6532 0.8969 0.7669
O -0.7158 1.8116 -0.5757
O -0.9382 0.1983 1.7905
Nb 0.0000 0.0000 0.0000
Tl -0.0009 2.9068 1.9818
```

Record 6
Below is crystalline Nb3Tl3O10 at its relaxed geometry, with properties calculated at the PBEsol level. Values from VASP.

Quantum ESPRESSO input file:
```
&SYSTEM
  ibrav = 0, nat = 64, ntyp = 3
/
ATOMIC_SPECIES
Tl 204.38 Tl.upf
O 16.00 O.upf
Nb 92.91 Nb.upf
CELL_PARAMETERS angstrom
-4.3105 5.1102 3.3899
1.7312 -2.9610 6.6649
13.9262 8.8399 -3.9050
ATOMIC_POSITIONS angstrom
Tl 6.8909 6.5477 -1.1083
Tl 1.4367 4.2935 3.6418
Tl 7.8057 4.9831 2.4136
Tl 8.9939 12.4437 0.9649
Tl 9.9087 10.8791 4.4868
Tl 8.3998 8.7134 1.6893
Tl 0.0137 2.0131 0.8908
Tl -2.2641 4.7134 2.6821
Tl 5.1375 3.8735 4.6015
Tl 2.8597 6.5739 6.3927
Tl 10.5550 6.1583 -0.0057
Tl 2.3023 2.8130 6.9742
O 10.8000 8.1713 -1.7471
O 7.6443 7.3057 3.8322
O 8.1340 10.6279 2.6088
O 5.7061 4.4769 0.5068
O 2.6625 2.0890 0.2365
O 3.6778 3.7166 2.3041
O 0.3763 2.3817 5.1754
O 10.3101 4.1454 1.7357
O -0.8218 0.6847 3.2034
O 8.6844 8.9001 5.9133
O 11.8564 6.3644 2.3199
O 2.4970 6.2052 2.1082
O 4.5214 1.3878 3.6572
O 1.8259 1.7521 2.9108
O 2.4865 0.6223 5.4539
O 3.6951 7.9022 4.0801
O 5.2590 6.0482 2.8502
O -1.7576 1.4645 6.8514
O 1.0474 6.8349 4.3727
O 9.8463 5.5657 4.1301
O 4.6309 7.1225 0.4321
O 3.0671 8.9765 1.6620
O 4.7484 1.8854 6.4260
O 8.6656 6.7989 0.7697
O 5.6408 6.5122 5.6430
O -2.3856 2.5387 4.4333
O 2.1181 5.0037 8.4945
O 5.8290 8.8195 2.4041
O 9.2537 5.9522 -2.3313
O 10.9705 8.6074 0.9744
O -0.1438 3.7406 7.5224
O 1.4778 -1.0002 3.3868
O 10.2117 8.3143 3.6134
O 0.1921 4.3968 1.9034
O 12.8899 7.9537 4.4005
O 9.1553 10.1211 -0.4537
O 6.5879 9.1126 -0.2349
O 2.6813 4.1902 5.3801
O -0.1937 -0.3895 5.6215
O -0.8044 4.8704 4.9794
Nb 3.5919 1.7384 1.9468
Nb 11.4206 4.6778 3.3268
Nb 2.0301 7.9494 3.0043
Nb 4.4575 0.2579 5.2793
Nb 9.2654 7.2329 5.0217
Nb 4.7944 9.0812 0.6940
Nb 12.0051 8.3457 2.6845
Nb -1.2993 3.1776 5.9642
Nb 4.1727 5.4094 1.3194
Nb 11.1447 9.8174 -0.6283
Nb 0.8433 0.6375 4.2792
Nb 5.6549 7.6094 4.0068
```

Record 7
Below is crystalline NbTlWO6 at its relaxed geometry, with properties calculated at the PBEsol level. Values from VASP.

Quantum ESPRESSO input file:
```
&SYSTEM
  ibrav = 0, nat = 18, ntyp = 4
/
ATOMIC_SPECIES
O 16.00 O.upf
Nb 92.91 Nb.upf
Tl 204.38 Tl.upf
W 183.84 W.upf
CELL_PARAMETERS angstrom
7.3076 0.0000 0.0000
3.6538 6.4084 0.0057
3.6538 2.1315 6.0435
ATOMIC_POSITIONS angstrom
O 12.3436 7.1538 5.6805
O 5.9254 3.4623 1.8393
O 2.2716 1.3861 0.3687
O 7.3076 5.9203 1.9268
O 8.6898 5.0776 4.2099
O 3.6538 3.6792 0.3394
O 5.9254 5.0776 4.2099
O 5.0360 1.3861 0.3687
O 8.6898 3.4623 1.8393
O 7.3076 2.6195 4.1224
O 9.5793 7.1538 5.6805
O 10.9614 4.8606 5.7099
Nb 7.3076 4.2699 3.0246
Nb 3.6538 0.0000 0.0000
Tl 10.9614 6.8609 2.5931
Tl 3.6538 1.6790 3.4561
W 5.4807 3.2042 0.0029
W 1.8269 3.2042 0.0029
```

Record 8
Below is crystalline Tm2Nb2O7 at its relaxed geometry, with properties calculated at the PBEsol level. Values from VASP.

Quantum ESPRESSO input file:
```
&SYSTEM
  ibrav = 0, nat = 22, ntyp = 3
/
ATOMIC_SPECIES
Tm 168.93 Tm.upf
O 16.00 O.upf
Nb 92.91 Nb.upf
CELL_PARAMETERS angstrom
-1.7914 4.5605 -5.2556
-6.6778 -0.0195 -2.6524
-4.4237 5.4952 1.3646
ATOMIC_POSITIONS angstrom
Tm -2.5073 3.5348 -3.4457
Tm -4.9505 1.2448 -2.1441
Tm -3.8235 4.0021 -0.1357
Tm -1.6116 1.2545 -0.8179
O -3.2232 2.5091 -1.6359
O -5.5381 5.2324 -1.1896
O -9.5658 9.7895 -5.1857
O -8.7613 7.7414 -2.8255
O -7.3548 4.8039 -5.3538
O -4.3560 4.8126 -4.1626
O -6.3426 7.2804 -3.5498
O -11.7602 7.7327 -4.0167
O -8.5369 5.2236 -2.3808
O -9.7736 5.2649 -4.6295
O -10.5781 7.3129 -6.9897
O 0.0000 0.0000 0.0000
O -7.5792 7.3217 -5.7985
O -6.5503 2.7558 -2.9936
Nb -8.0581 6.2727 -4.0896
Nb -5.8462 3.5251 -4.7719
Nb -7.1623 3.9924 -1.4619
Nb -4.7192 6.2824 -2.7634
```

Record 9
Below is crystalline NbV3O10 at its relaxed geometry, with properties calculated at the PBEsol level. Values from VASP.

Quantum ESPRESSO input file:
```
&SYSTEM
  ibrav = 0, nat = 14, ntyp = 3
/
ATOMIC_SPECIES
V 50.94 V.upf
O 16.00 O.upf
Nb 92.91 Nb.upf
CELL_PARAMETERS angstrom
4.1906 0.0000 0.0000
0.0000 6.6296 0.0000
0.0000 0.0000 6.6296
ATOMIC_POSITIONS angstrom
V 2.7224 3.3148 0.0000
V 2.0953 0.0000 0.0000
V 1.4682 0.0000 3.3148
O 1.1572 0.0000 1.4401
O 1.0204 4.8340 3.3148
O 1.0204 1.7956 3.3148
O 3.1702 3.3148 4.8340
O 3.0335 1.4401 0.0000
O 3.0687 0.0000 3.3148
O 1.1572 0.0000 5.1894
O 3.1702 3.3148 1.7956
O 3.0335 5.1894 0.0000
O 1.1220 3.3148 0.0000
Nb 2.0953 3.3148 3.3148
```

Record 10
Below is crystalline Nb9VO25 at its relaxed geometry, with properties calculated at the PBEsol level. Values from VASP.

Quantum ESPRESSO input file:
```
&SYSTEM
  ibrav = 0, nat = 35, ntyp = 3
/
ATOMIC_SPECIES
O 16.00 O.upf
Nb 92.91 Nb.upf
V 50.94 V.upf
CELL_PARAMETERS angstrom
3.8482 0.0000 0.0000
1.9241 11.2261 0.0000
1.9241 0.0000 11.2261
ATOMIC_POSITIONS angstrom
O 3.8440 7.1346 1.5728
O 1.9283 1.5728 4.0916
O 5.7362 8.2192 3.2679
O 5.8132 7.0417 5.8090
O 5.7745 5.7287 9.0383
O 3.8459 9.0383 5.4974
O 1.9241 0.0000 0.0000
O 5.7827 1.8821 10.5055
O 3.8843 7.9582 8.2192
O 3.8459 2.1878 5.7287
O 1.9264 5.4974 2.1878
O 3.8072 5.8090 4.1844
O 3.8072 5.4171 7.0417
O 5.8036 10.7702 4.4251
O 3.8169 6.8011 10.7702
O 1.9554 0.4559 6.8011
O 3.8377 10.5055 9.3440
O 1.8880 3.0069 7.9582
O 1.9651 4.1844 5.4171
O 3.8377 0.7206 1.8821
O 5.7765 9.6534 7.1346
O 3.8843 3.2679 3.0069
O 3.8440 4.0916 9.6534
O 3.8169 4.4251 0.4559
O 1.9345 9.3440 0.7206
Nb 5.7788 3.6461 9.9512
Nb 5.7336 8.8866 4.9598
Nb 1.9306 7.5800 1.2749
Nb 3.8416 9.9512 7.5800
Nb 3.8416 1.2749 3.6461
Nb 3.8868 6.2663 8.8866
Nb 1.8854 2.3395 6.2663
Nb 3.8868 4.9598 2.3395
Nb 0.0000 0.0000 0.0000
V 2.8861 5.6131 5.6131
```

Record 11
Below is crystalline NbV2O7 at its relaxed geometry, with properties calculated at the PBEsol level. Values from VASP.

Quantum ESPRESSO input file:
```
&SYSTEM
  ibrav = 0, nat = 40, ntyp = 3
/
ATOMIC_SPECIES
Nb 92.91 Nb.upf
V 50.94 V.upf
O 16.00 O.upf
CELL_PARAMETERS angstrom
8.7839 0.0000 0.0000
0.0000 8.7839 0.0000
0.0000 0.0000 8.7839
ATOMIC_POSITIONS angstrom
Nb 0.0000 0.0000 0.0000
Nb 0.0000 4.3919 4.3919
Nb 4.3919 4.3919 0.0000
Nb 4.3919 0.0000 4.3919
V 5.4049 5.4049 5.4049
V 1.0130 7.7709 3.3789
V 5.4049 7.7709 1.0130
V 3.3789 3.3789 3.3789
V 1.0130 5.4049 7.7709
V 3.3789 1.0130 7.7709
V 7.7709 1.0130 5.4049
V 7.7709 3.3789 1.0130
O 4.3919 0.0000 0.0000
O 3.5969 0.5561 6.1375
O 1.7455 3.5969 3.8358
O 7.0383 5.1870 4.9480
O 7.0383 7.9888 0.5561
O 4.3919 4.3919 4.3919
O 1.7455 0.7951 8.2278
O 0.5561 7.0383 7.9888
O 6.1375 0.7951 4.9480
O 6.1375 3.5969 0.5561
O 0.7951 4.9480 6.1375
O 7.9888 3.8358 2.6464
O 8.2278 1.7455 0.7951
O 0.5561 6.1375 3.5969
O 2.6464 7.9888 3.8358
O 7.9888 0.5561 7.0383
O 0.0000 4.3919 0.0000
O 3.8358 2.6464 7.9888
O 2.6464 5.1870 8.2278
O 0.7951 8.2278 1.7455
O 4.9480 6.1375 0.7951
O 4.9480 7.0383 5.1870
O 8.2278 2.6464 5.1870
O 5.1870 8.2278 2.6464
O 3.5969 3.8358 1.7455
O 5.1870 4.9480 7.0383
O 3.8358 1.7455 3.5969
O 0.0000 0.0000 4.3919
```

Record 12
Below is crystalline NbVO4 at its relaxed geometry, with properties calculated at the PBEsol level. Values from VASP.

Quantum ESPRESSO input file:
```
&SYSTEM
  ibrav = 0, nat = 6, ntyp = 3
/
ATOMIC_SPECIES
O 16.00 O.upf
V 50.94 V.upf
Nb 92.91 Nb.upf
CELL_PARAMETERS angstrom
-1.3238 1.6671 -2.0209
-3.7649 0.4121 2.8062
1.9335 3.8512 1.9102
ATOMIC_POSITIONS angstrom
O -0.3569 0.8307 0.9190
O -2.7696 2.2458 1.5352
O -0.3856 3.6845 1.1603
O -1.4745 3.4325 3.7974
V -0.6619 0.8335 -1.0105
Nb -0.9157 2.1316 2.3582
```

Calculated energy, -269.27, -103.16, -314.55, -168.23, -39.02, -495.47, -155.05, -202.76, -123.77, -325.90, -364.15, -56.00 eV for the cell shown (same order as the records).
Calculated formation energy without anion corrections, -2412, -2468, -2024, -1860, -1965, -1939, -2086, -3018, -2254, -2504, -2420, -2424 meV per atom (same order as the records).